First-principles (PBE) data for a relaxed structure of Y2InBIr, as listed in the Alexandria database.

Geometry as CIF:
```
data_Y2InBIr
_cell_length_a 5.099
_cell_length_b 5.099
_cell_length_c 4.052
_cell_angle_alpha 90.00
_cell_angle_beta 90.00
_cell_angle_gamma 90.00
_space_group_name_H-M_alt 'P 4/m m m'
_space_group_IT_number 123
_space_group_name_Hall '-P 4 2'
loop_
_atom_site_label
_atom_site_fract_x
_atom_site_fract_y
_atom_site_fract_z
Y1 0.000 0.500 0.000
In1 0.000 0.000 0.500
B1 0.500 0.500 0.000
Ir1 0.500 0.500 0.500
```

* crystal system: tetragonal
* E: -6.7805 eV per atom
* energy relative to the lowest polymorph listed for this composition: 0.00 eV/f.u.
* energy of formation: -2.697 eV/f.u.

---

First-principles (PBE) data for a relaxed structure of CdTc2Ir, as listed in the Alexandria database.

Geometry as CIF:
```
data_CdTc2Ir
_cell_length_a 2.818
_cell_length_b 2.818
_cell_length_c 7.981
_cell_angle_alpha 90.00
_cell_angle_beta 90.00
_cell_angle_gamma 90.00
_space_group_name_H-M_alt 'P 4 m m'
_space_group_IT_number 99
_space_group_name_Hall 'P 4 -2'
loop_
_atom_site_label
_atom_site_fract_x
_atom_site_fract_y
_atom_site_fract_z
Cd1 0.000 0.000 0.000
Tc1 0.000 0.000 0.495
Tc2 0.500 0.500 0.721
Ir1 0.500 0.500 0.270
```

* crystal system: tetragonal
* E: -7.4985 eV per atom
* energy of formation: 0.514 eV/f.u.

---

First-principles (PBE) data for a relaxed structure of Sm8C4O, as listed in the Alexandria database.

Geometry as CIF:
```
data_Sm8C4O
_cell_length_a 10.552
_cell_length_b 10.552
_cell_length_c 10.552
_cell_angle_alpha 90.00
_cell_angle_beta 90.00
_cell_angle_gamma 90.00
_space_group_name_H-M_alt 'F -4 3 m'
_space_group_IT_number 216
_space_group_name_Hall 'F -4 2 3'
loop_
_atom_site_label
_atom_site_fract_x
_atom_site_fract_y
_atom_site_fract_z
Sm1 0.115 0.115 0.385
Sm2 0.131 0.131 0.869
C1 0.124 0.124 0.624
O1 0.000 0.000 0.000
```

* crystal system: cubic
* formation energy without anion corrections: -6.92 eV/f.u.
* E: -6.6557 eV per atom

---

First-principles (PBE) data for a relaxed structure of MgRe2Mo, as listed in the Alexandria database.

Geometry as CIF:
```
data_MgRe2Mo
_cell_length_a 3.112
_cell_length_b 4.469
_cell_length_c 8.957
_cell_angle_alpha 90.00
_cell_angle_beta 90.00
_cell_angle_gamma 90.00
_space_group_name_H-M_alt 'I m m 2'
_space_group_IT_number 44
_space_group_name_Hall 'I 2 -2'
loop_
_atom_site_label
_atom_site_fract_x
_atom_site_fract_y
_atom_site_fract_z
Mg1 0.000 0.000 0.000
Re1 0.000 0.000 0.497
Re2 0.000 0.500 0.761
Mo1 0.000 0.500 0.235
```

* crystal system: orthorhombic
* E: -9.1311 eV per atom
* energy of formation: 0.797 eV/f.u.